! LiDySiPd GGA-PBE relaxed; values from VASP
! **Energy relative to the elements, uncorrected**: -689 meV/atom
! **Uncorrected energy**: -4.9720 eV/atom
! **Space group**: No. 216
&SYSTEM
  ibrav = 0, nat = 4, ntyp = 4
/
ATOMIC_SPECIES
Si 28.09 Si.upf
Li 6.94 Li.upf
Pd 106.42 Pd.upf
Dy 162.50 Dy.upf
ATOMIC_POSITIONS angstrom
Si 6.8427 3.9506 2.7935
Li 4.5618 2.6337 1.8623
Pd 0.0000 0.0000 0.0000
Dy 2.2809 1.3169 0.9312
CELL_PARAMETERS angstrom
4.5618 0.0000 0.0000
2.2809 3.9506 0.0000
2.2809 1.3169 3.7247

---

! Er12Mg3Zr5 GGA-PBE relaxed; values from VASP
! **DFT formation energy**: 1.125 eV per atom
! **Uncorrected energy**: -3.9889 eV/atom
! **Space group**: No. 230
&SYSTEM
  ibrav = 0, nat = 80, ntyp = 3
/
ATOMIC_SPECIES
Mg 24.30 Mg.upf
Zr 91.22 Zr.upf
Er 167.26 Er.upf
ATOMIC_POSITIONS angstrom
Mg -8.2156 -4.9919 3.4893
Mg -7.2574 -9.3600 6.6332
Mg 0.9565 -0.4502 10.1722
Mg -2.2526 3.0087 3.2827
Mg -11.7909 -1.1195 2.0384
Mg -0.5334 -4.4093 6.7097
Mg -5.4332 4.2446 7.5534
Mg 5.8243 0.9548 12.2247
Mg -3.7140 -3.1734 10.9804
Mg -6.9231 0.2855 4.0909
Mg 1.2908 9.1953 7.6299
Mg 2.2490 4.8271 10.7738
Zr 1.3227 -0.8636 4.7336
Zr 3.7726 -5.1906 4.3117
Zr 0.0000 0.0000 0.0000
Zr -3.5451 -2.2686 2.6810
Zr -6.7559 5.1082 2.8198
Zr -3.7123 -7.0914 3.9522
Zr 4.3345 -3.0043 8.7623
Zr -9.0085 8.1169 6.1025
Zr -5.9648 -4.0827 7.2349
Zr -3.5771 7.7903 5.5773
Zr -2.3895 -7.9550 8.6858
Zr -2.9833 -0.0824 7.1316
Zr -7.4849 -1.9008 -0.3596
Zr 0.7290 7.0090 3.1794
Zr -0.0018 3.9179 7.0282
Zr 3.0419 -8.2816 8.1606
Zr 4.5016 1.8184 7.4911
Zr -10.3011 2.8396 5.5009
Zr -2.4215 2.1039 11.5821
Zr -7.2893 0.6989 9.5295
Er -9.7033 -3.2914 1.0571
Er -0.2148 -1.1609 7.3153
Er -10.8883 -3.4546 4.2185
Er -6.5384 -2.5391 2.3897
Er -2.3594 -0.4767 10.0155
Er -9.4666 -7.2724 5.2983
Er 1.3835 -3.5573 9.0841
Er 5.9823 -7.8486 8.6940
Er -0.5587 -2.6535 11.8715
Er -6.1670 -6.5861 5.5586
Er -7.7985 -2.4016 5.5233
Er -5.4883 -11.9250 7.7785
Er 4.2301 -0.1411 9.7156
Er -2.0987 -4.5897 3.9610
Er 6.2210 -4.8479 10.2318
Er -4.3217 5.0568 4.5326
Er 0.2429 1.1328 2.7422
Er -1.4553 -7.4814 5.8537
Er -5.2690 -8.7944 9.0342
Er 1.1814 -3.7734 3.9392
Er 2.7675 -0.2233 12.7619
Er -3.1876 -2.9958 7.7075
Er -6.7063 -4.3471 10.1500
Er -7.7358 6.3296 8.1770
Er -2.7790 2.8311 6.5556
Er 0.7397 4.1824 4.1131
Er 1.7692 -6.4943 6.0861
Er -0.6976 8.6297 5.2289
Er -8.7341 0.0585 1.5012
Er -7.1480 3.6087 10.3239
Er -4.5113 7.3167 8.4094
Er -1.6449 -5.2215 9.7305
Er -6.2095 -1.2975 11.5209
Er -12.1876 4.6832 4.0313
Er -10.1967 -0.0236 4.5475
Er -0.4783 11.7603 6.4846
Er -3.8679 4.4250 10.3021
Er -5.4079 2.4888 2.3916
Er 0.2004 6.4213 8.7045
Er 1.8319 2.2369 8.7398
Er -11.9489 7.6839 5.5691
Er -7.3501 3.3926 5.1790
Er 0.5718 2.3744 11.8734
Er 3.5000 7.1077 8.9648
Er -3.6072 0.3120 4.2476
Er 4.9217 3.2899 10.0446
Er -5.7518 0.9962 6.9478
Er 3.7367 3.1267 13.2060
CELL_PARAMETERS angstrom
-14.9698 -3.8016 -0.7191
7.5453 -10.3811 8.6235
1.4579 14.0180 6.3588

---

! Pm4Zn2Ag GGA-PBE relaxed; values from VASP
! **DFT formation energy**: -0.147 eV per atom
! **Uncorrected energy**: -3.6327 eV/atom
! **Space group**: No. 166
&SYSTEM
  ibrav = 0, nat = 7, ntyp = 3
/
ATOMIC_SPECIES
Pm 145.00 Pm.upf
Zn 65.41 Zn.upf
Ag 107.87 Ag.upf
ATOMIC_POSITIONS angstrom
Pm -2.3441 3.1559 8.6556
Pm 0.5184 4.8482 3.3572
Pm -1.8788 1.1808 5.6556
Pm 0.0531 6.8233 6.3571
Zn -1.3605 6.0287 9.0127
Zn -0.4652 1.9754 3.0000
Ag 0.0000 0.0000 0.0000
CELL_PARAMETERS angstrom
-3.9317 0.9470 3.2107
0.5509 -0.8188 5.0685
1.5551 7.8759 3.7336

---

! BaBPt3 GGA-PBE relaxed; values from VASP
! **DFT formation energy**: 2.500 eV per atom
! **Uncorrected energy**: -2.8443 eV/atom
! **Space group**: No. 221
! **Excess energy over the best structure of this formula in the dataset**: 2869 meV/atom
&SYSTEM
  ibrav = 0, nat = 5, ntyp = 3
/
ATOMIC_SPECIES
B 10.81 B.upf
Ba 137.33 Ba.upf
Pt 195.08 Pt.upf
ATOMIC_POSITIONS angstrom
B 2.7172 2.7172 2.7172
Ba 0.0000 0.0000 0.0000
Pt 0.0000 2.7172 0.0000
Pt 0.0000 0.0000 2.7172
Pt 2.7172 0.0000 0.0000
CELL_PARAMETERS angstrom
5.4343 0.0000 0.0000
0.0000 5.4343 0.0000
0.0000 0.0000 5.4343

---

! Ho2Al4Cu3Ni GGA-PBE relaxed; values from VASP
! **DFT formation energy**: -0.445 eV per atom
! **Uncorrected energy**: -4.6646 eV/atom
! **Space group**: No. 115
&SYSTEM
  ibrav = 0, nat = 10, ntyp = 4
/
ATOMIC_SPECIES
Ho 164.93 Ho.upf
Al 26.98 Al.upf
Cu 63.55 Cu.upf
Ni 58.69 Ni.upf
ATOMIC_POSITIONS angstrom
Ho 2.0512 0.0000 2.6044
Ho 0.0000 2.0512 7.5323
Al 2.0512 2.0512 0.0000
Al 0.0000 0.0000 0.0000
Al 2.0512 0.0000 6.3183
Al 0.0000 2.0512 3.8184
Cu 0.0000 0.0000 5.0684
Cu 2.0512 0.0000 8.7311
Cu 0.0000 2.0512 1.4057
Ni 2.0512 2.0512 5.0684
CELL_PARAMETERS angstrom
4.1023 0.0000 0.0000
0.0000 4.1023 0.0000
0.0000 0.0000 10.1367

---

! SrNb3As GGA-PBE relaxed; values from VASP
! **DFT formation energy**: 2.520 eV per atom
! **Uncorrected energy**: -4.7879 eV/atom
! **Space group**: No. 221
! **Excess energy over the best structure of this formula in the dataset**: 1906 meV/atom
&SYSTEM
  ibrav = 0, nat = 5, ntyp = 3
/
ATOMIC_SPECIES
Sr 87.62 Sr.upf
Nb 92.91 Nb.upf
As 74.92 As.upf
ATOMIC_POSITIONS angstrom
Sr 0.0000 0.0000 0.0000
Nb 0.0000 2.4472 0.0000
Nb 0.0000 0.0000 2.4472
Nb 2.4472 0.0000 0.0000
As 2.4472 2.4472 2.4472
CELL_PARAMETERS angstrom
4.8944 0.0000 0.0000
0.0000 4.8944 0.0000
0.0000 0.0000 4.8944

---

! NdTh3Tl4 GGA-PBE relaxed; values from VASP
! **DFT formation energy**: -0.164 eV per atom
! **Uncorrected energy**: -4.7258 eV/atom
! **Space group**: No. 47
! **Excess energy over the best structure of this formula in the dataset**: 0 meV/atom
&SYSTEM
  ibrav = 0, nat = 8, ntyp = 3
/
ATOMIC_SPECIES
Tl 204.38 Tl.upf
Nd 144.24 Nd.upf
Th 232.04 Th.upf
ATOMIC_POSITIONS angstrom
Tl 0.0000 0.0000 5.9288
Tl 0.0000 2.9697 8.9088
Tl 0.0000 0.0000 0.0000
Tl 0.0000 2.9697 2.9488
Nd 1.6792 2.9697 0.0000
Th 1.6792 0.0000 2.9615
Th 1.6792 2.9697 5.9288
Th 1.6792 0.0000 8.8961
CELL_PARAMETERS angstrom
3.3584 0.0000 0.0000
0.0000 5.9394 0.0000
0.0000 0.0000 11.8576

---

! LaY6Sc GGA-PBE relaxed; values from VASP
! **DFT formation energy**: 0.204 eV per atom
! **Uncorrected energy**: -6.0514 eV/atom
! **Space group**: No. 2
! **Excess energy over the best structure of this formula in the dataset**: 156 meV/atom
&SYSTEM
  ibrav = 0, nat = 8, ntyp = 3
/
ATOMIC_SPECIES
La 138.91 La.upf
Y 88.91 Y.upf
Sc 44.96 Sc.upf
ATOMIC_POSITIONS angstrom
La 0.0000 0.0000 0.0000
Y 1.1433 5.2686 4.3454
Y 4.1599 5.0305 5.7346
Y 3.3073 2.0785 4.5273
Y 6.3238 1.8404 5.9164
Y 3.4591 4.7454 2.0674
Y 4.0080 2.3636 8.1945
Sc 0.0162 3.2358 0.4137
CELL_PARAMETERS angstrom
6.2865 -0.1208 2.5017
0.0323 6.4715 0.8273
1.1483 0.7583 6.9329

---

! RbTaZnSn2 GGA-PBE relaxed; values from VASP
! **DFT formation energy**: 0.921 eV per atom
! **Uncorrected energy**: -3.4986 eV/atom
! **Space group**: No. 123
&SYSTEM
  ibrav = 0, nat = 5, ntyp = 4
/
ATOMIC_SPECIES
Zn 65.41 Zn.upf
Sn 118.71 Sn.upf
Rb 85.47 Rb.upf
Ta 180.95 Ta.upf
ATOMIC_POSITIONS angstrom
Zn 0.0000 0.0000 0.0000
Sn -2.4356 -0.6244 -0.9188
Sn -0.0236 2.2427 -1.4615
Rb -1.3895 0.3454 -4.3510
Ta 1.0697 -1.2730 -1.9706
CELL_PARAMETERS angstrom
-0.0472 4.4854 -2.9231
2.1394 -2.5459 -3.9413
-4.8713 -1.2488 -1.8376

---

! CePu3Br8 GGA-PBE relaxed; values from VASP
! **Energy relative to the elements, uncorrected**: -1488 meV/atom
! **Uncorrected energy**: -6.6809 eV/atom
! **Space group**: No. 12
&SYSTEM
  ibrav = 0, nat = 12, ntyp = 3
/
ATOMIC_SPECIES
Ce 140.12 Ce.upf
Pu 244.00 Pu.upf
Br 79.90 Br.upf
ATOMIC_POSITIONS angstrom
Ce 0.0000 0.0000 0.0000
Pu -2.8760 1.8285 -2.2977
Pu -2.3574 -2.2425 -2.5102
Pu 0.5186 -4.0710 -0.2125
Br -3.7105 -0.6140 4.1557
Br -4.6686 -0.4954 -1.9033
Br -4.2185 3.4599 4.3285
Br -7.0720 5.2741 2.0488
Br -6.5571 1.2356 1.8380
Br -1.8219 -2.3450 0.4144
Br -1.3070 -6.3835 0.2036
Br -4.1605 -4.5693 -2.0761
CELL_PARAMETERS angstrom
-5.7521 3.6571 -4.5954
1.0373 -8.1420 -0.4250
-3.6642 3.3756 7.2728

---

! LuMgAu GGA-PBE relaxed; values from VASP
! **DFT formation energy**: -0.522 eV per atom
! **Uncorrected energy**: -3.6532 eV/atom
! **Space group**: No. 216
&SYSTEM
  ibrav = 0, nat = 3, ntyp = 3
/
ATOMIC_SPECIES
Mg 24.30 Mg.upf
Lu 174.97 Lu.upf
Au 196.97 Au.upf
ATOMIC_POSITIONS angstrom
Mg 4.7284 2.7300 1.9304
Lu 0.0000 0.0000 0.0000
Au 2.3642 1.3650 0.9652
CELL_PARAMETERS angstrom
4.7284 0.0000 0.0000
2.3642 4.0949 0.0000
2.3642 1.3650 3.8608

---

! Li3Ho3PtO8 GGA-PBE relaxed; values from VASP
! **Energy relative to the elements, uncorrected**: -2419 meV/atom
! **Uncorrected energy**: -6.7643 eV/atom
! **Space group**: No. 166
&SYSTEM
  ibrav = 0, nat = 15, ntyp = 4
/
ATOMIC_SPECIES
Li 6.94 Li.upf
Ho 164.93 Ho.upf
Pt 195.08 Pt.upf
O 16.00 O.upf
ATOMIC_POSITIONS angstrom
Li 0.0000 0.0000 0.0000
Li -1.6502 2.8580 -0.0099
Li 1.6501 2.8579 -0.0099
Ho 3.3004 -1.8973 2.4956
Ho 1.6502 0.9607 2.4856
Ho -1.6502 0.9608 2.4857
Pt 0.0000 -1.8972 2.4956
O 0.0000 1.9093 1.3386
O 3.3003 0.0122 3.6326
O 3.3003 2.0667 1.3297
O 0.0000 -0.1452 3.6416
O 1.7865 4.6885 1.3206
O 1.5139 -2.7670 3.6507
O -1.7866 4.6885 1.3206
O 5.0869 -2.7670 3.6506
CELL_PARAMETERS angstrom
6.6007 -0.0001 0.0000
-3.3004 5.7160 -0.0198
0.0000 -3.7944 4.9911